[1]
MgAl5Tc after structural relaxation, computed with PBE. Values from VASP.

The structure in Quantum ESPRESSO input format:
```
&SYSTEM
  ibrav = 0, nat = 7, ntyp = 3
/
ATOMIC_SPECIES
Al 26.98 Al.upf
Mg 24.30 Mg.upf
Tc 98.00 Tc.upf
CELL_PARAMETERS angstrom
7.458 0.000 0.000
0.000 5.001 0.000
-3.729 -2.500 4.413
ATOMIC_POSITIONS angstrom
Al 1.854 1.212 0.000
Al 1.854 3.788 0.000
Al 2.060 2.500 2.357
Al 7.060 2.500 0.000
Mg 4.437 2.500 0.000
Al -1.669 0.000 2.057
Tc 7.005 0.000 0.000
```

* ρ: 2.59 g/cm³
* formation enthalpy at 0 K: 0.41 eV per atom



[2]
MgAlTc2 after structural relaxation, computed with PBE. Values from VASP.

The structure in Quantum ESPRESSO input format:
```
&SYSTEM
  ibrav = 0, nat = 4, ntyp = 3
/
ATOMIC_SPECIES
Mg 24.30 Mg.upf
Tc 98.00 Tc.upf
Al 26.98 Al.upf
CELL_PARAMETERS angstrom
3.063 0.000 0.000
0.000 3.063 0.000
0.000 0.000 6.595
ATOMIC_POSITIONS angstrom
Mg 1.532 1.532 5.015
Tc 0.000 0.000 0.139
Al 0.000 0.000 3.121
Tc 1.532 1.532 1.617
```

* ρ: 6.63 g/cm³
* formation enthalpy at 0 K: -0.17 eV per atom
* distance to the lowest polymorph of the same formula: 0.0000 eV per atom



[3]
Mg3AlTc after structural relaxation, computed with PBE. Values from VASP.

The structure in Quantum ESPRESSO input format:
```
&SYSTEM
  ibrav = 0, nat = 5, ntyp = 3
/
ATOMIC_SPECIES
Tc 98.00 Tc.upf
Mg 24.30 Mg.upf
Al 26.98 Al.upf
CELL_PARAMETERS angstrom
4.994 0.000 0.000
0.000 4.994 0.000
0.000 0.000 4.994
ATOMIC_POSITIONS angstrom
Tc 0.000 0.000 0.000
Mg 2.497 0.000 0.000
Al 2.497 2.497 2.497
Mg 0.000 0.000 2.497
Mg 0.000 2.497 0.000
```

* ρ: 2.64 g/cm³
* formation enthalpy at 0 K: 0.87 eV per atom
* distance to the lowest polymorph of the same formula: 0.0000 eV per atom



[4]
MgAlTc after structural relaxation, computed with PBE. Values from VASP.

The structure in Quantum ESPRESSO input format:
```
&SYSTEM
  ibrav = 0, nat = 6, ntyp = 3
/
ATOMIC_SPECIES
Al 26.98 Al.upf
Tc 98.00 Tc.upf
Mg 24.30 Mg.upf
CELL_PARAMETERS angstrom
2.768 0.334 -0.259
1.648 2.892 -0.058
-0.082 0.336 13.414
ATOMIC_POSITIONS angstrom
Al 2.262 2.574 1.088
Al 2.072 0.988 12.009
Tc 2.915 2.385 10.044
Mg 1.878 1.017 7.894
Tc 1.419 1.177 3.053
Mg 2.456 2.545 5.203
```

* ρ: 4.97 g/cm³
* formation enthalpy at 0 K: 0.04 eV per atom
* distance to the lowest polymorph of the same formula: 0.0880 eV per atom



[5]
MgAlTc after structural relaxation, computed with PBE. Values from VASP.

The structure in Quantum ESPRESSO input format:
```
&SYSTEM
  ibrav = 0, nat = 3, ntyp = 3
/
ATOMIC_SPECIES
Mg 24.30 Mg.upf
Al 26.98 Al.upf
Tc 98.00 Tc.upf
CELL_PARAMETERS angstrom
-1.972 -2.105 3.239
1.283 -3.998 1.086
2.089 -0.666 3.742
ATOMIC_POSITIONS angstrom
Mg 0.700 -3.384 4.034
Al 0.000 0.000 0.000
Tc 1.050 -5.077 6.051
```

* ρ: 4.30 g/cm³
* formation enthalpy at 0 K: 0.46 eV per atom
* distance to the lowest polymorph of the same formula: 0.5029 eV per atom



[6]
MgAl2Tc after structural relaxation, computed with PBE. Values from VASP.

The structure in Quantum ESPRESSO input format:
```
&SYSTEM
  ibrav = 0, nat = 4, ntyp = 3
/
ATOMIC_SPECIES
Mg 24.30 Mg.upf
Tc 98.00 Tc.upf
Al 26.98 Al.upf
CELL_PARAMETERS angstrom
3.388 0.000 0.000
0.000 3.388 0.000
0.000 0.000 5.644
ATOMIC_POSITIONS angstrom
Mg 0.000 0.000 2.890
Tc 1.694 1.694 4.374
Al 1.694 1.694 1.340
Al 0.000 0.000 5.506
```

* ρ: 4.52 g/cm³
* formation enthalpy at 0 K: -0.10 eV per atom



[7]
MgAlTc2 after structural relaxation, computed with PBE. Values from VASP.

The structure in Quantum ESPRESSO input format:
```
&SYSTEM
  ibrav = 0, nat = 4, ntyp = 3
/
ATOMIC_SPECIES
Mg 24.30 Mg.upf
Tc 98.00 Tc.upf
Al 26.98 Al.upf
CELL_PARAMETERS angstrom
-0.170 2.530 0.990
-1.824 -0.260 -2.004
-5.928 -2.644 5.740
ATOMIC_POSITIONS angstrom
Mg -5.443 -0.848 3.798
Tc -2.883 -1.286 2.792
Tc -0.081 -0.036 0.078
Al -2.479 0.474 0.928
```

* ρ: 6.74 g/cm³
* formation enthalpy at 0 K: 0.01 eV per atom
* distance to the lowest polymorph of the same formula: 0.1838 eV per atom



[8]
MgAlTc2 after structural relaxation, computed with PBE. Values from VASP.

The structure in Quantum ESPRESSO input format:
```
&SYSTEM
  ibrav = 0, nat = 4, ntyp = 3
/
ATOMIC_SPECIES
Mg 24.30 Mg.upf
Tc 98.00 Tc.upf
Al 26.98 Al.upf
CELL_PARAMETERS angstrom
-2.821 -1.042 1.299
1.545 -0.681 2.808
-1.142 5.550 1.973
ATOMIC_POSITIONS angstrom
Mg -1.495 3.301 3.533
Tc -0.511 2.482 0.883
Al -0.924 0.526 2.547
Tc -0.060 0.292 0.104
```

* ρ: 6.38 g/cm³
* formation enthalpy at 0 K: 0.03 eV per atom
* distance to the lowest polymorph of the same formula: 0.2004 eV per atom



Among the records above, which one has the highest formation enthalpy at 0 K?
Mg3AlTc



Which of these has the highest ρ?
number 7